(1)
A relaxed Gd3Ho crystal, computed with GGA-PBE.

Summary:
Fermi-level density of states   8.0 states/eV/f.u.
Density   8257 kg/m³
Excess energy over the best structure of this formula in the dataset   16 kJ/mol of formula units
Spin magnetization   22.0 μB per cell

Cell: 5.040 5.040 5.040 Å, 90.00 90.00 90.00°
Last column: magnetic moment on the atom in μB.
Sites, in units of the cell vectors:
Gd (0.000, 0.500, 0.500)  7.13
Gd (0.500, 0.000, 0.500)  7.13
Gd (0.500, 0.500, 0.000)  7.13
Ho (0.000, 0.000, 0.000)  -0.04

---

(2)
A relaxed GdHo3 crystal, computed with GGA-PBE.

Summary:
Fermi-level density of states   6.7 states/eV/f.u.
Density   8663 kg/m³
Excess energy over the best structure of this formula in the dataset   7 kJ/mol of formula units
Spin magnetization   7.1 μB per cell

Cell: 5.000 5.000 5.000 Å, 90.00 90.00 90.00°
Last column: magnetic moment on the atom in μB.
Sites, in units of the cell vectors:
Gd (0.000, 0.000, 0.000)  7.13
Ho (0.000, 0.500, 0.500)  -0.06
Ho (0.500, 0.000, 0.500)  -0.06
Ho (0.500, 0.500, 0.000)  -0.06

---

(3)
A relaxed GdHo3 crystal, computed with GGA-PBE.

Summary:
Fermi-level density of states   7.8 states/eV/f.u.
Density   8515 kg/m³
Excess energy over the best structure of this formula in the dataset   1 kJ/mol of formula units
Spin magnetization   7.9 μB per cell

Cell: 3.601 5.658 6.241 Å, 90.00 90.00 90.00°
Last column: magnetic moment on the atom in μB.
Sites, in units of the cell vectors:
Gd (0.000, 0.000, 0.999)  7.22
Ho (0.000, 0.500, 0.334)  0.06
Ho (0.500, 0.000, 0.501)  0.12
Ho (0.500, 0.500, 0.833)  0.08

---

(4)
A relaxed GdHo3 crystal, computed with GGA-PBE.

Summary:
Fermi-level density of states   8.0 states/eV/f.u.
Density   8518 kg/m³
Excess energy over the best structure of this formula in the dataset   46 kJ/mol of formula units
Spin magnetization   8.8 μB per cell

Cell: 5.644 5.644 5.644 Å, 60.00 60.00 60.00°
Last column: magnetic moment on the atom in μB.
Sites, in units of the cell vectors:
Gd (0.500, 0.500, 0.500)  7.34
Ho (0.000, 0.000, 0.000)  0.25
Ho (0.750, 0.750, 0.750)  0.29
Ho (0.250, 0.250, 0.250)  0.29